Record 1
TiSnTe2I: single point on PBEsol structure, SCAN.

## Properties
ρ in kg/m3: 5080
Formation energy without anion corrections in eV per atom: 0.49

```
data_TiSnTe2I
_chemical_formula_sum 'Ti1 Sn1 Te2 I1'
_symmetry_space_group_name_H-M 'P 1'
_symmetry_Int_Tables_number 1
_cell_length_a 5.613
_cell_length_b 5.613
_cell_length_c 5.692
_cell_angle_alpha 90.00
_cell_angle_beta 90.00
_cell_angle_gamma 90.00
loop_
_symmetry_equiv_pos_as_xyz
'x,y,z'
loop_
_atom_site_label
_atom_site_type_symbol
_atom_site_fract_x
_atom_site_fract_y
_atom_site_fract_z
Ti1 Ti 0.000 0.000 0.000
Sn1 Sn 0.500 0.500 0.500
Te1 Te 0.000 0.500 0.500
Te2 Te 0.500 0.000 0.500
I1 I 0.500 0.500 0.000
```

Record 2
Li10Ti11Cr9O40: single point on PBEsol structure, SCAN.

## Properties
ρ in kg/m3: 3999
Formation energy without anion corrections in eV per atom: -2.90

```
data_Li10Ti11Cr9O40
_chemical_formula_sum 'Li10 Ti11 Cr9 O40'
_symmetry_space_group_name_H-M 'P 1'
_symmetry_Int_Tables_number 1
_cell_length_a 5.829
_cell_length_b 5.850
_cell_length_c 24.103
_cell_angle_alpha 89.76
_cell_angle_beta 83.12
_cell_angle_gamma 60.34
loop_
_symmetry_equiv_pos_as_xyz
'x,y,z'
loop_
_atom_site_label
_atom_site_type_symbol
_atom_site_fract_x
_atom_site_fract_y
_atom_site_fract_z
Li1 Li 0.044 0.227 0.174
Li2 Li 0.147 0.174 0.025
Li3 Li 0.244 0.622 0.375
Li4 Li 0.340 0.575 0.224
Li5 Li 0.453 0.026 0.574
Li6 Li 0.547 0.974 0.426
Li7 Li 0.660 0.425 0.776
Li8 Li 0.756 0.378 0.625
Li9 Li 0.853 0.826 0.975
Li10 Li 0.956 0.773 0.826
Ti1 Ti 0.000 0.000 0.500
Ti2 Ti 0.096 0.697 0.100
Ti3 Ti 0.209 0.405 0.699
Ti4 Ti 0.287 0.096 0.302
Ti5 Ti 0.314 0.088 0.801
Ti6 Ti 0.500 0.500 0.000
Ti7 Ti 0.500 0.500 0.500
Ti8 Ti 0.686 0.912 0.199
Ti9 Ti 0.713 0.904 0.698
Ti10 Ti 0.791 0.595 0.301
Ti11 Ti 0.904 0.303 0.900
Cr1 Cr 0.000 0.500 0.500
Cr2 Cr 0.106 0.701 0.600
Cr3 Cr 0.209 0.903 0.700
Cr4 Cr 0.404 0.799 0.900
Cr5 Cr 0.405 0.300 0.900
Cr6 Cr 0.595 0.700 0.100
Cr7 Cr 0.596 0.201 0.100
Cr8 Cr 0.791 0.097 0.300
Cr9 Cr 0.894 0.299 0.400
O1 O 0.013 0.747 0.743
O2 O 0.044 0.235 0.748
O3 O 0.074 0.980 0.348
O4 O 0.081 0.432 0.347
O5 O 0.117 0.968 0.852
O6 O 0.120 0.416 0.851
O7 O 0.163 0.169 0.452
O8 O 0.196 0.656 0.457
O9 O 0.209 0.145 0.942
O10 O 0.238 0.631 0.947
O11 O 0.286 0.384 0.548
O12 O 0.292 0.834 0.546
O13 O 0.307 0.370 0.052
O14 O 0.309 0.819 0.052
O15 O 0.373 0.572 0.653
O16 O 0.399 0.547 0.143
O17 O 0.404 0.058 0.657
O18 O 0.426 0.034 0.147
O19 O 0.497 0.232 0.747
O20 O 0.498 0.781 0.748
O21 O 0.502 0.219 0.252
O22 O 0.503 0.768 0.253
O23 O 0.574 0.966 0.853
O24 O 0.596 0.942 0.343
O25 O 0.601 0.453 0.857
O26 O 0.627 0.428 0.347
O27 O 0.691 0.181 0.948
O28 O 0.693 0.630 0.948
O29 O 0.708 0.166 0.454
O30 O 0.714 0.616 0.452
O31 O 0.762 0.369 0.053
O32 O 0.791 0.855 0.058
O33 O 0.804 0.344 0.543
O34 O 0.837 0.831 0.548
O35 O 0.880 0.584 0.149
O36 O 0.883 0.032 0.148
O37 O 0.919 0.568 0.653
O38 O 0.926 0.020 0.652
O39 O 0.956 0.765 0.252
O40 O 0.987 0.253 0.257
```

Record 3
ZrOs2Rh: single point on PBEsol structure, SCAN.

## Properties
Energy of formation from the pure elements in eV/f.u.: -0.928
ρ in kg/m3: 15678
Distance to the lowest polymorph of the same formula in meV per atom: 82

```
data_ZrOs2Rh
_chemical_formula_sum 'Zr1 Os2 Rh1'
_symmetry_space_group_name_H-M 'P 1'
_symmetry_Int_Tables_number 1
_cell_length_a 4.787
_cell_length_b 4.787
_cell_length_c 4.787
_cell_angle_alpha 131.16
_cell_angle_beta 131.16
_cell_angle_gamma 71.56
loop_
_symmetry_equiv_pos_as_xyz
'x,y,z'
loop_
_atom_site_label
_atom_site_type_symbol
_atom_site_fract_x
_atom_site_fract_y
_atom_site_fract_z
Zr1 Zr 0.000 0.000 0.000
Os1 Os 0.500 0.500 0.000
Os2 Os 0.750 0.250 0.500
Rh1 Rh 0.250 0.750 0.500
```

Record 4
InSb3P6O24: single point on PBEsol structure, SCAN.

## Properties
ρ in kg/m3: 4007
Formation energy without anion corrections in eV per atom: -2.12

```
data_InSb3P6O24
_chemical_formula_sum 'In2 Sb6 P12 O48'
_symmetry_space_group_name_H-M 'P 1'
_symmetry_Int_Tables_number 1
_cell_length_a 8.424
_cell_length_b 8.694
_cell_length_c 14.438
_cell_angle_alpha 90.00
_cell_angle_beta 124.63
_cell_angle_gamma 90.00
loop_
_symmetry_equiv_pos_as_xyz
'x,y,z'
loop_
_atom_site_label
_atom_site_type_symbol
_atom_site_fract_x
_atom_site_fract_y
_atom_site_fract_z
In1 In 0.000 0.220 0.000
In2 In 0.000 0.780 0.500
Sb1 Sb 0.237 0.219 0.736
Sb2 Sb 0.237 0.781 0.236
Sb3 Sb 0.508 0.281 0.506
Sb4 Sb 0.508 0.719 0.006
Sb5 Sb 0.739 0.283 0.236
Sb6 Sb 0.739 0.717 0.736
P1 P 0.111 0.137 0.466
P2 P 0.111 0.863 0.966
P3 P 0.346 0.370 0.977
P4 P 0.346 0.630 0.477
P5 P 0.412 0.131 0.267
P6 P 0.412 0.869 0.767
P7 P 0.618 0.375 0.764
P8 P 0.618 0.625 0.264
P9 P 0.830 0.005 0.619
P10 P 0.830 0.995 0.119
P11 P 0.911 0.498 0.629
P12 P 0.911 0.502 0.129
O1 O 0.063 0.030 0.937
O2 O 0.063 0.970 0.437
O3 O 0.112 0.422 0.681
O4 O 0.112 0.578 0.181
O5 O 0.202 0.171 0.592
O6 O 0.202 0.829 0.092
O7 O 0.210 0.377 0.013
O8 O 0.210 0.623 0.513
O9 O 0.214 0.185 0.176
O10 O 0.214 0.815 0.676
O11 O 0.258 0.180 0.438
O12 O 0.258 0.820 0.938
O13 O 0.273 0.250 0.881
O14 O 0.273 0.750 0.381
O15 O 0.369 0.475 0.431
O16 O 0.369 0.525 0.931
O17 O 0.406 0.036 0.804
O18 O 0.406 0.964 0.304
O19 O 0.478 0.332 0.797
O20 O 0.478 0.668 0.297
O21 O 0.507 0.352 0.635
O22 O 0.507 0.648 0.135
O23 O 0.509 0.232 0.375
O24 O 0.509 0.768 0.875
O25 O 0.554 0.317 0.073
O26 O 0.554 0.683 0.573
O27 O 0.559 0.132 0.233
O28 O 0.559 0.868 0.733
O29 O 0.636 0.085 0.582
O30 O 0.636 0.915 0.082
O31 O 0.641 0.447 0.285
O32 O 0.641 0.553 0.785
O33 O 0.764 0.365 0.570
O34 O 0.764 0.635 0.070
O35 O 0.802 0.286 0.829
O36 O 0.802 0.714 0.329
O37 O 0.828 0.052 0.020
O38 O 0.828 0.948 0.520
O39 O 0.862 0.122 0.204
O40 O 0.862 0.878 0.704
O41 O 0.872 0.382 0.044
O42 O 0.872 0.618 0.544
O43 O 0.908 0.439 0.230
O44 O 0.908 0.561 0.730
O45 O 0.935 0.248 0.398
O46 O 0.935 0.752 0.898
O47 O 0.997 0.119 0.695
O48 O 0.997 0.881 0.195
```

Record 5
Cu2Au3: single point on PBEsol structure, SCAN.

## Properties
Energy of formation from the pure elements in eV/f.u.: -0.077
ρ in kg/m3: 15888
Distance to the lowest polymorph of the same formula in meV per atom: 57

```
data_Cu2Au3
_chemical_formula_sum 'Cu2 Au3'
_symmetry_space_group_name_H-M 'P 1'
_symmetry_Int_Tables_number 1
_cell_length_a 10.857
_cell_length_b 10.857
_cell_length_c 10.857
_cell_angle_alpha 15.04
_cell_angle_beta 15.04
_cell_angle_gamma 15.04
loop_
_symmetry_equiv_pos_as_xyz
'x,y,z'
loop_
_atom_site_label
_atom_site_type_symbol
_atom_site_fract_x
_atom_site_fract_y
_atom_site_fract_z
Cu1 Cu 0.102 0.102 0.102
Cu2 Cu 0.898 0.898 0.898
Au1 Au 0.296 0.296 0.296
Au2 Au 0.500 0.500 0.500
Au3 Au 0.704 0.704 0.704
```

Record 6
NaMg4P3O12: single point on PBEsol structure, SCAN.

## Properties
ρ in kg/m3: 2822
Formation energy without anion corrections in eV per atom: -2.85

```
data_NaMg4P3O12
_chemical_formula_sum 'Na4 Mg16 P12 O48'
_symmetry_space_group_name_H-M 'P 1'
_symmetry_Int_Tables_number 1
_cell_length_a 9.757
_cell_length_b 6.333
_cell_length_c 15.431
_cell_angle_alpha 90.00
_cell_angle_beta 90.00
_cell_angle_gamma 90.00
loop_
_symmetry_equiv_pos_as_xyz
'x,y,z'
loop_
_atom_site_label
_atom_site_type_symbol
_atom_site_fract_x
_atom_site_fract_y
_atom_site_fract_z
Na1 Na 0.239 0.250 0.212
Na2 Na 0.261 0.750 0.712
Na3 Na 0.739 0.250 0.288
Na4 Na 0.761 0.750 0.788
Mg1 Mg 0.039 0.750 0.131
Mg2 Mg 0.074 0.250 0.627
Mg3 Mg 0.244 0.000 0.447
Mg4 Mg 0.244 0.500 0.447
Mg5 Mg 0.256 0.000 0.947
Mg6 Mg 0.256 0.500 0.947
Mg7 Mg 0.426 0.750 0.127
Mg8 Mg 0.461 0.250 0.631
Mg9 Mg 0.539 0.750 0.369
Mg10 Mg 0.574 0.250 0.873
Mg11 Mg 0.744 0.000 0.053
Mg12 Mg 0.744 0.500 0.053
Mg13 Mg 0.756 0.000 0.553
Mg14 Mg 0.756 0.500 0.553
Mg15 Mg 0.926 0.750 0.373
Mg16 Mg 0.961 0.250 0.869
P1 P 0.027 0.250 0.061
P2 P 0.051 0.750 0.553
P3 P 0.202 0.750 0.274
P4 P 0.298 0.250 0.774
P5 P 0.449 0.250 0.053
P6 P 0.473 0.750 0.561
P7 P 0.527 0.250 0.439
P8 P 0.551 0.750 0.947
P9 P 0.702 0.750 0.226
P10 P 0.798 0.250 0.726
P11 P 0.949 0.250 0.447
P12 P 0.973 0.750 0.939
O1 O 0.042 0.750 0.268
O2 O 0.059 0.054 0.113
O3 O 0.059 0.446 0.113
O4 O 0.099 0.750 0.454
O5 O 0.108 0.250 0.447
O6 O 0.114 0.551 0.592
O7 O 0.114 0.949 0.592
O8 O 0.117 0.250 0.975
O9 O 0.126 0.750 0.971
O10 O 0.242 0.750 0.178
O11 O 0.244 0.049 0.820
O12 O 0.244 0.451 0.820
O13 O 0.256 0.549 0.320
O14 O 0.256 0.951 0.320
O15 O 0.258 0.250 0.678
O16 O 0.374 0.250 0.471
O17 O 0.383 0.750 0.475
O18 O 0.386 0.051 0.092
O19 O 0.386 0.449 0.092
O20 O 0.392 0.750 0.947
O21 O 0.401 0.250 0.954
O22 O 0.441 0.554 0.613
O23 O 0.441 0.946 0.613
O24 O 0.458 0.250 0.768
O25 O 0.542 0.750 0.232
O26 O 0.559 0.054 0.387
O27 O 0.559 0.446 0.387
O28 O 0.599 0.750 0.046
O29 O 0.608 0.250 0.053
O30 O 0.614 0.551 0.908
O31 O 0.614 0.949 0.908
O32 O 0.617 0.250 0.525
O33 O 0.626 0.750 0.529
O34 O 0.742 0.750 0.322
O35 O 0.744 0.049 0.680
O36 O 0.744 0.451 0.680
O37 O 0.756 0.549 0.180
O38 O 0.756 0.951 0.180
O39 O 0.758 0.250 0.822
O40 O 0.874 0.250 0.029
O41 O 0.883 0.750 0.025
O42 O 0.886 0.051 0.408
O43 O 0.886 0.449 0.408
O44 O 0.892 0.750 0.553
O45 O 0.901 0.250 0.546
O46 O 0.941 0.554 0.887
O47 O 0.941 0.946 0.887
O48 O 0.958 0.250 0.732
```

Record 7
KBeCr2: single point on PBEsol structure, SCAN.

## Properties
Energy of formation from the pure elements in eV/f.u.: 4.231
ρ in kg/m3: 3632

```
data_KBeCr2
_chemical_formula_sum 'K1 Be1 Cr2'
_symmetry_space_group_name_H-M 'P 1'
_symmetry_Int_Tables_number 1
_cell_length_a 2.953
_cell_length_b 4.789
_cell_length_c 4.918
_cell_angle_alpha 90.00
_cell_angle_beta 90.00
_cell_angle_gamma 90.00
loop_
_symmetry_equiv_pos_as_xyz
'x,y,z'
loop_
_atom_site_label
_atom_site_type_symbol
_atom_site_fract_x
_atom_site_fract_y
_atom_site_fract_z
K1 K 0.000 0.000 0.000
Be1 Be 0.500 0.500 0.000
Cr1 Cr 0.000 0.500 0.500
Cr2 Cr 0.500 0.000 0.500
```

Record 8
SrTcHg2: single point on PBEsol structure, SCAN.

## Properties
Energy of formation from the pure elements in eV/f.u.: 1.562
ρ in kg/m3: 11110
Distance to the lowest polymorph of the same formula in meV per atom: 0

```
data_SrTcHg2
_chemical_formula_sum 'Sr1 Tc1 Hg2'
_symmetry_space_group_name_H-M 'P 1'
_symmetry_Int_Tables_number 1
_cell_length_a 5.957
_cell_length_b 5.957
_cell_length_c 5.957
_cell_angle_alpha 146.89
_cell_angle_beta 129.93
_cell_angle_gamma 61.35
loop_
_symmetry_equiv_pos_as_xyz
'x,y,z'
loop_
_atom_site_label
_atom_site_type_symbol
_atom_site_fract_x
_atom_site_fract_y
_atom_site_fract_z
Sr1 Sr 0.000 0.000 0.000
Tc1 Tc 0.253 0.753 0.500
Hg1 Hg 0.465 0.465 0.000
Hg2 Hg 0.723 0.223 0.500
```

Let's list DOS(E_F) in order: 1.7 4.4 3.7 0.0 1.5 0.0 1.8 2.0 states/eV per cell.
Let's list final energy in order: -32.1490 -11.6855 -52.2895 -12.6200 -47.5894 -9.3536 -11.3050 -48.0263 eV/atom.